# 1
A relaxed structure of VGa. Source: Alexandria, functional PBE.

The structure belongs to space group Pnma (No. 62); the cell edges are 10.415, 4.173 and 5.258 Å and the angles 90.00°, 90.00° and 90.00°. The asymmetric unit holds V at (0.076, 0.250, 0.095), V at (0.182, 0.750, 0.302), Ga at (0.067, 0.250, 0.599) and Ga at (0.178, 0.750, 0.819).

As for the formation energy: -0.103 eV/atom.



# 2
A relaxed structure of V11Ga3. Source: Alexandria, functional PBE.

The structure belongs to space group Immm (No. 71); the cell edges are 4.400, 7.523 and 11.984 Å and the angles 90.00°, 90.00° and 90.00°. The asymmetric unit holds V at (0.000, 0.000, 0.000), V at (0.000, 0.166, 0.291), V at (0.000, 0.315, 0.105), V at (0.000, 0.500, 0.316), Ga at (0.000, 0.000, 0.500) and Ga at (0.000, 0.320, 0.500).

As for the formation energy: 0.114 eV/atom.



# 3
A relaxed structure of VGa. Source: Alexandria, functional PBE.

The structure belongs to space group C2/m (No. 12); the cell edges are 9.314, 3.318 and 4.108 Å and the angles 90.00°, 116.01° and 90.00°. The asymmetric unit holds V at (0.138, 0.000, 0.389) and Ga at (0.122, 0.500, 0.873).

As for the formation energy: -0.161 eV/atom.



# 4
A relaxed structure of VGaW2. Source: Alexandria, functional PBE.

The structure belongs to space group I-42d (No. 122); the cell edges are 7.020, 7.020 and 5.346 Å and the angles 90.00°, 90.00° and 90.00°. The asymmetric unit holds V at (0.000, 0.000, 0.000), Ga at (0.000, 0.000, 0.500) and W at (0.233, 0.250, 0.125).

As for the formation energy: 0.812 eV/atom.



# 5
A relaxed structure of V6GaW. Source: Alexandria, functional PBE.

The structure belongs to space group Pm-3 (No. 200); the cell edges are 4.820, 4.820 and 4.820 Å and the angles 90.00°, 90.00° and 90.00°. The asymmetric unit holds V at (0.000, 0.253, 0.500), Ga at (0.000, 0.000, 0.000) and W at (0.500, 0.500, 0.500).

As for the formation energy: -0.100 eV/atom.



# 6
A relaxed structure of V2Ga2W. Source: Alexandria, functional PBE.

The structure belongs to space group P4/mbm (No. 127); the cell edges are 6.692, 6.692 and 3.241 Å and the angles 90.00°, 90.00° and 90.00°. The asymmetric unit holds V at (0.174, 0.326, 0.000), Ga at (0.128, 0.628, 0.500) and W at (0.000, 0.000, 0.500).

As for the formation energy: -0.062 eV/atom.



# 7
A relaxed structure of V2GaW. Source: Alexandria, functional PBE.

The structure belongs to space group P4/mmm (No. 123); the cell edges are 3.173, 3.173 and 5.735 Å and the angles 90.00°, 90.00° and 90.00°. The asymmetric unit holds V at (0.000, 0.000, 0.248), Ga at (0.500, 0.500, 0.500) and W at (0.500, 0.500, 0.000).

As for the formation energy: -0.143 eV/atom.



# 8
A relaxed structure of V3GaW2. Source: Alexandria, functional PBE.

The structure belongs to space group P4/mmm (No. 123); the cell edges are 3.140, 3.140 and 8.838 Å and the angles 90.00°, 90.00° and 90.00°. The asymmetric unit holds V at (0.000, 0.000, 0.000), V at (0.000, 0.000, 0.335), Ga at (0.500, 0.500, 0.500) and W at (0.500, 0.500, 0.175).

As for the formation energy: -0.136 eV/atom.



# 9
A relaxed structure of V2GaW. Source: Alexandria, functional PBE.

The structure belongs to space group P4/mmm (No. 123); the cell edges are 4.185, 4.185 and 3.270 Å and the angles 90.00°, 90.00° and 90.00°. The asymmetric unit holds V at (0.000, 0.500, 0.000), Ga at (0.000, 0.000, 0.500) and W at (0.500, 0.500, 0.500).

As for the formation energy: -0.123 eV/atom.



# 10
A relaxed structure of V6GaW. Source: Alexandria, functional PBE.

The structure belongs to space group Amm2 (No. 38); the cell edges are 4.240, 6.105 and 8.580 Å and the angles 90.00°, 90.00° and 90.00°. The asymmetric unit holds V at (0.000, 0.000, 0.000), V at (0.000, 0.230, 0.744), V at (0.500, 0.000, 0.745), V at (0.500, 0.247, 0.994), Ga at (0.500, 0.000, 0.244) and W at (0.000, 0.000, 0.486).

As for the formation energy: -0.091 eV/atom.



# 11
A relaxed structure of V7Ga2W3. Source: Alexandria, functional PBE.

The structure belongs to space group Cmmm (No. 65); the cell edges are 4.305, 20.780 and 4.134 Å and the angles 90.00°, 90.00° and 90.00°. The asymmetric unit holds V at (0.000, 0.000, 0.000), V at (0.000, 0.071, 0.500), V at (0.000, 0.271, 0.000), V at (0.000, 0.423, 0.000), Ga at (0.000, 0.148, 0.000), W at (0.000, 0.348, 0.500) and W at (0.000, 0.500, 0.500).

As for the formation energy: 0.282 eV/atom.



# 12
A relaxed structure of V5GaW4. Source: Alexandria, functional PBE.

The structure belongs to space group P4/mmm (No. 123); the cell edges are 3.118, 3.118 and 14.995 Å and the angles 90.00°, 90.00° and 90.00°. The asymmetric unit holds V at (0.000, 0.000, 0.000), V at (0.000, 0.000, 0.204), V at (0.000, 0.000, 0.402), Ga at (0.500, 0.500, 0.500), W at (0.500, 0.500, 0.102) and W at (0.500, 0.500, 0.307).

As for the formation energy: -0.109 eV/atom.



# 13
A relaxed structure of VGaW. Source: Alexandria, functional PBE.

The structure belongs to space group R-3m (No. 166, hexagonal axes); the cell edges are 4.4823, 4.4823 and 16.6971 Å and the angles 90.00°, 90.00° and 120.00°. The asymmetric unit holds V at (0.0000, 0.0000, 0.0730), Ga at (0.0000, 0.0000, 0.3867) and W at (0.0000, 0.0000, 0.2128).

As for the formation energy: 0.377 eV/atom.



# 14
A relaxed structure of V4GaW. Source: Alexandria, functional PBE.

The structure belongs to space group F-43m (No. 216); the cell edges are 6.977, 6.977 and 6.977 Å and the angles 90.00°, 90.00° and 90.00°. The asymmetric unit holds V at (0.124, 0.124, 0.124), Ga at (0.000, 0.000, 0.500) and W at (0.250, 0.250, 0.750).

As for the formation energy: 0.079 eV/atom.



# 15
A relaxed structure of V2GaW. Source: Alexandria, functional PBE.

The structure belongs to space group Cm (No. 8); the cell edges are 5.116, 2.603 and 9.322 Å and the angles 90.00°, 105.64° and 90.00°. The asymmetric unit holds V at (0.000, 0.000, 0.000), V at (0.137, 0.500, 0.486), Ga at (0.314, 0.500, 0.244) and W at (0.034, 0.500, 0.740).

As for the formation energy: 0.125 eV/atom.



# 16
A relaxed structure of V2GaW. Source: Alexandria, functional PBE.

The structure belongs to space group I-42d (No. 122); the cell edges are 6.939, 6.939 and 5.234 Å and the angles 90.00°, 90.00° and 90.00°. The asymmetric unit holds V at (0.240, 0.250, 0.125), Ga at (0.000, 0.000, 0.500) and W at (0.000, 0.000, 0.000).

As for the formation energy: 0.610 eV/atom.



# 17
A relaxed structure of VGaW. Source: Alexandria, functional PBE.

The structure belongs to space group P3m1 (No. 156); the cell edges are 4.3678, 4.3678 and 2.6993 Å and the angles 90.00°, 90.00° and 120.00°. The asymmetric unit holds V at (0.0000, 0.0000, 0.0000), Ga at (0.6667, 0.3333, 0.3282) and W at (0.3333, 0.6667, 0.7127).

As for the formation energy: -0.021 eV/atom.



# 18
A relaxed structure of V12Ga3W. Source: Alexandria, functional PBE.

The structure belongs to space group Pmmm (No. 47); the cell edges are 4.784, 4.826 and 9.580 Å and the angles 90.00°, 90.00° and 90.00°. The asymmetric unit holds V at (0.000, 0.000, 0.124), V at (0.000, 0.000, 0.374), V at (0.253, 0.500, 0.500), V at (0.255, 0.500, 0.000), V at (0.500, 0.246, 0.250), Ga at (0.000, 0.500, 0.249), Ga at (0.500, 0.000, 0.000) and W at (0.500, 0.000, 0.500).

As for the formation energy: -0.148 eV/atom.



# 19
A relaxed structure of V4GaW. Source: Alexandria, functional PBE.

The structure belongs to space group C2/m (No. 12); the cell edges are 7.065, 4.126 and 7.289 Å and the angles 90.00°, 108.51° and 90.00°. The asymmetric unit holds V at (0.122, 0.000, 0.368), V at (0.123, 0.500, 0.869), Ga at (0.000, 0.500, 0.500) and W at (0.000, 0.000, 0.000).

As for the formation energy: 0.634 eV/atom.



# 20
A relaxed structure of V4GaW. Source: Alexandria, functional PBE.

The structure belongs to space group C2/m (No. 12); the cell edges are 9.510, 3.151 and 5.910 Å and the angles 90.00°, 106.58° and 90.00°. The asymmetric unit holds V at (0.167, 0.000, 0.330), V at (0.173, 0.000, 0.828), Ga at (0.000, 0.500, 0.000) and W at (0.000, 0.500, 0.500).

As for the formation energy: -0.085 eV/atom.



# 21
A relaxed structure of VGaW. Source: Alexandria, functional PBE.

The structure belongs to space group I4mm (No. 107); the cell edges are 3.249, 3.249 and 8.427 Å and the angles 90.00°, 90.00° and 90.00°. The asymmetric unit holds V at (0.000, 0.000, 0.000), Ga at (0.000, 0.000, 0.329) and W at (0.000, 0.000, 0.652).

As for the formation energy: -0.081 eV/atom.



# 22
A relaxed structure of VGaW. Source: Alexandria, functional PBE.

The structure belongs to space group C2/m (No. 12); the cell edges are 9.958, 3.229 and 5.819 Å and the angles 90.00°, 107.99° and 90.00°. The asymmetric unit holds V at (0.005, 0.000, 0.255), Ga at (0.163, 0.500, 0.587) and W at (0.162, 0.500, 0.078).

As for the formation energy: -0.083 eV/atom.



# 23
A relaxed structure of V2ZnGaW. Source: Alexandria, functional PBE.

The structure belongs to space group P4/mmm (No. 123); the cell edges are 4.485, 4.485 and 4.644 Å and the angles 90.00°, 90.00° and 90.00°. The asymmetric unit holds V at (0.000, 0.500, 0.000), Zn at (0.000, 0.000, 0.500), Ga at (0.500, 0.500, 0.000) and W at (0.500, 0.500, 0.500).

As for the formation energy: 1.377 eV/atom.



# 24
A relaxed structure of VZnGa2W. Source: Alexandria, functional PBE.

The structure belongs to space group P4/mmm (No. 123); the cell edges are 4.398, 4.398 and 4.797 Å and the angles 90.00°, 90.00° and 90.00°. The asymmetric unit holds V at (0.000, 0.000, 0.000), Zn at (0.500, 0.500, 0.500), Ga at (0.000, 0.500, 0.500) and W at (0.500, 0.500, 0.000).

As for the formation energy: 1.379 eV/atom.



# 25
A relaxed structure of YV3Ga. Source: Alexandria, functional PBE.

The structure belongs to space group Pm-3m (No. 221); the cell edges are 4.624, 4.624 and 4.624 Å and the angles 90.00°, 90.00° and 90.00°. The asymmetric unit holds Y at (0.000, 0.000, 0.000), V at (0.000, 0.000, 0.500) and Ga at (0.500, 0.500, 0.500).

As for the formation energy: 1.961 eV/atom.